(1)
Density functional theory data (PBE-GGA) for a geometry-optimized PrEuTmTl structure.

Properties
- crystal system = cubic
- electronic total energy (eV per atom) = -5.51

abc: 7.8996 7.8996 7.8996
angles: 90.00 90.00 90.00
Space group F-43m (No. 216)
Symmetry-distinct sites (fractional):
Pr  0.0000  0.0000  0.0000 x4
Eu  0.2500  0.2500  0.7500 x4
Tm  0.0000  0.0000  0.5000 x4
Tl  0.2500  0.2500  0.2500 x4



(2)
Density functional theory data (PBE-GGA) for a geometry-optimized YZnSe structure.

Properties
- ΔE_f (raw) (eV/atom) = -0.700
- energy relative to the lowest polymorph listed for this composition (eV per atom) = 0.1646
- crystal system = trigonal

abc: 3.8817 3.8817 5.7066
angles: 90.00 90.00 120.00
Space group P3m1 (No. 156)
Symmetry-distinct sites (fractional):
Y  0.0000  0.0000  0.0000 x1
Zn  0.3333  0.6667  0.3738 x1
Se  0.6667  0.3333  0.6893 x1



(3)
Density functional theory data (PBE-GGA) for a geometry-optimized KAlIn2 structure.

Properties
- crystal system = trigonal
- electronic total energy (eV per atom) = -2.44

abc: 3.3911 3.3911 32.7826
angles: 90.00 90.00 120.00
Space group R-3m (No. 166, hexagonal axes)
Symmetry-distinct sites (fractional):
K  0.0000  0.0000  0.0000 x3
Al  0.0000  0.0000  0.5000 x3
In  0.0000  0.0000  0.2397 x6



(4)
Density functional theory data (PBE-GGA) for a geometry-optimized Pu2PdAu2 structure.

Properties
- energy relative to the lowest polymorph listed for this composition (eV per atom) = 0.0654
- crystal system = tetragonal

abc: 7.4874 7.4874 8.4053
angles: 90.00 90.00 90.00
Space group P4/mnc (No. 128)
Symmetry-distinct sites (fractional):
Pu  0.1639  0.3259  0.0000 x8
Pd  0.0000  0.0000  0.1795 x4
Au  0.1351  0.6351  0.2500 x8



(5)
Density functional theory data (PBE-GGA) for a geometry-optimized K2Se2O7 structure.

Properties
- ΔE_f (raw) (eV/atom) = -1.109
- energy relative to the lowest polymorph listed for this composition (eV per atom) = 0.0000
- crystal system = monoclinic

abc: 13.2788 7.7199 7.6586
angles: 90.00 92.38 90.00
Space group C2/c (No. 15)
Symmetry-distinct sites (fractional):
K  0.1446  0.1526  0.3628 x8
Se  0.1049  0.3170  0.8681 x8
O  0.0000  0.4287  0.7500 x4
O  0.0560  0.1970  0.0218 x8
O  0.1615  0.1950  0.7242 x8
O  0.1710  0.4852  0.9363 x8



(6)
Density functional theory data (PBE-GGA) for a geometry-optimized V2InGaBi structure.

Properties
- crystal system = tetragonal
- electronic total energy (eV per atom) = -4.22

abc: 5.1979 5.1979 5.7161
angles: 90.00 90.00 90.00
Space group P4/mmm (No. 123)
Symmetry-distinct sites (fractional):
V  0.0000  0.5000  0.0000 x2
In  0.0000  0.0000  0.0000 x1
Ga  0.5000  0.5000  0.5000 x1
Bi  0.0000  0.0000  0.5000 x1



(7)
Density functional theory data (PBE-GGA) for a geometry-optimized La2CeS2N2 structure.

Properties
- ΔE_f (raw) (eV/atom) = -1.680
- crystal system = tetragonal

abc: 4.4419 4.4419 14.9802
angles: 90.00 90.00 90.00
Space group I4/mmm (No. 139)
Symmetry-distinct sites (fractional):
La  0.0000  0.0000  0.1225 x4
Ce  0.0000  0.0000  0.5000 x2
S  0.0000  0.0000  0.3151 x4
N  0.0000  0.5000  0.0000 x4



(8)
Density functional theory data (PBE-GGA) for a geometry-optimized ScTaMo structure.

Properties
- energy relative to the lowest polymorph listed for this composition (eV per atom) = 0.0333
- crystal system = monoclinic

abc: 9.8290 4.6604 6.0105
angles: 90.00 126.02 90.00
Space group C2/m (No. 12)
Symmetry-distinct sites (fractional):
Sc  0.1719  0.0000  0.0698 x4
Ta  0.1603  0.0000  0.5469 x4
Mo  0.0196  0.5000  0.2616 x4



(9)
Density functional theory data (PBE-GGA) for a geometry-optimized Rb2CS structure.

Properties
- ΔE_f (raw) (eV/atom) = 0.894
- energy relative to the lowest polymorph listed for this composition (eV per atom) = 0.0000
- crystal system = cubic

abc: 7.8608 7.8608 7.8608
angles: 90.00 90.00 90.00
Space group Fm-3m (No. 225)
Symmetry-distinct sites (fractional):
Rb  0.2500  0.2500  0.2500 x8
C  0.0000  0.0000  0.0000 x4
S  0.0000  0.0000  0.5000 x4



(10)
Density functional theory data (PBE-GGA) for a geometry-optimized Y3Th4 structure.

Properties
- crystal system = tetragonal
- electronic total energy (eV per atom) = -6.98

abc: 3.5839 3.5839 35.3677
angles: 90.00 90.00 90.00
Space group I4/mmm (No. 139)
Symmetry-distinct sites (fractional):
Y  0.0000  0.0000  0.0000 x2
Y  0.0000  0.0000  0.2875 x4
Th  0.0000  0.0000  0.1421 x4
Th  0.0000  0.0000  0.4273 x4



(11)
Density functional theory data (PBE-GGA) for a geometry-optimized Nd3Pu2Rh3 structure.

Properties
- crystal system = orthorhombic
- electronic total energy (eV per atom) = -8.60

abc: 4.1615 12.7037 15.0607
angles: 90.00 90.00 90.00
Space group Cmcm (No. 63)
Symmetry-distinct sites (fractional):
Nd  0.0000  0.0572  0.1228 x8
Nd  0.0000  0.3528  0.2500 x4
Pu  0.0000  0.2269  0.5847 x8
Rh  0.0000  0.3250  0.7500 x4
Rh  0.0000  0.4023  0.0395 x8



(12)
Density functional theory data (PBE-GGA) for a geometry-optimized SrI structure.

Properties
- ΔE_f (raw) (eV/atom) = -0.917
- crystal system = cubic

abc: 7.6254 7.6254 7.6254
angles: 90.00 90.00 90.00
Space group F-43m (No. 216)
Symmetry-distinct sites (fractional):
Sr  0.0000  0.0000  0.0000 x4
I  0.2500  0.2500  0.7500 x4



(13)
Density functional theory data (PBE-GGA) for a geometry-optimized Re3Au structure.

Properties
- crystal system = monoclinic
- electronic total energy (eV per atom) = -9.84

abc: 9.3545 2.8370 4.8239
angles: 90.00 101.06 90.00
Space group C2/m (No. 12)
Symmetry-distinct sites (fractional):
Re  0.0000  0.0000  0.0000 x2
Re  0.2416  0.5000  0.2248 x4
Au  0.0000  0.5000  0.5000 x2



(14)
Density functional theory data (PBE-GGA) for a geometry-optimized LiPm2Ga3Pd4 structure.

Properties
- crystal system = tetragonal
- electronic total energy (eV per atom) = -4.88

abc: 4.0577 4.0577 11.5640
angles: 90.00 90.00 90.00
Space group P-4m2 (No. 115)
Symmetry-distinct sites (fractional):
Li  0.0000  0.0000  0.0000 x1
Pm  0.0000  0.5000  0.7511 x2
Ga  0.0000  0.5000  0.3677 x2
Ga  0.5000  0.5000  0.0000 x1
Pd  0.0000  0.0000  0.5000 x1
Pd  0.0000  0.5000  0.1456 x2
Pd  0.5000  0.5000  0.5000 x1